w | # PH6PbCBr3

Crystalline PH6PbCBr3 at its relaxed geometry (PBE, Alexandria via LeMat-Bulk).

**Volume**: 989.1 Å³/cell

a = 4.7026 Å, b = 10.5716 Å, c = 19.8962 Å
α = 90.30°, β = 90.00°, γ = 90.00°
Last column: nearest neighbours and their distance in Å.
Sites, in units of the cell vectors:
Pb (0.2500, 0.1856, 0.9191)  5 Br 2.89-3.15
Pb (0.7500, 0.8615, 0.0268)  6 Br 2.98-3.21
Pb (0.2500, 0.6420, 0.5240)  6 Br 3.01-3.19
Pb (0.7500, 0.3205, 0.4213)  5 Br 2.89-3.14
Br (0.7500, 0.3439, 0.9725)  6 H 3.06-3.42, 2 Pb 3.07
Br (0.2500, 0.7043, 0.9793)  2 Pb 3.03, 4 H 3.22-3.24
Br (0.7500, 0.7944, 0.4724)  1 H 2.63
Br (0.2500, 0.1549, 0.4681)  3 H 2.73-2.96
Br (0.2500, 0.0507, 0.0713)  2 H 2.82-3.14
Br (0.7500, 0.9966, 0.8862)  3 Pb 3.15, 3 H 3.27-3.37
Br (0.2500, 0.5053, 0.3865)  3 Pb 3.09-3.14, 1 H 3.39
Br (0.7500, 0.4588, 0.5715)  3 Pb 3.19-3.32, 3 H 3.32, 1 P 3.54
Br (0.2500, 0.3042, 0.7887)  4 H 2.84-3.16, 1 Pb 2.89
Br (0.7500, 0.7251, 0.1574)  4 H 2.78-3.02, 1 Pb 2.98
Br (0.2500, 0.7923, 0.6528)  2 H 2.61
Br (0.7500, 0.2208, 0.2856)  4 H 2.62-2.73, 1 Pb 2.89
C (0.7500, 0.0483, 0.7050)  3 H 1.10
C (0.2500, 0.8884, 0.3212)  3 H 1.10
C (0.7500, 0.6005, 0.8294)  3 H 1.10
C (0.2500, 0.4537, 0.2041)  3 H 1.10
P (0.7500, 0.0449, 0.6150)  3 H 1.41
P (0.2500, 0.9503, 0.2374)  3 H 1.41
P (0.7500, 0.5510, 0.7430)  3 H 1.40-1.41
P (0.2500, 0.4422, 0.1145)  3 H 1.41
H (0.9400, 0.9987, 0.7229)  1 C 1.10
H (0.7500, 0.1465, 0.7231)  1 C 1.10
H (0.5601, 0.9987, 0.7229)  1 C 1.10
H (0.9863, 0.1096, 0.5879)  1 P 1.41
H (0.7500, 0.9228, 0.5858)  1 P 1.41
H (0.5137, 0.1096, 0.5879)  1 P 1.41
H (0.4399, 0.8300, 0.3291)  1 C 1.10
H (0.2500, 0.9677, 0.3572)  1 C 1.10
H (0.0601, 0.8300, 0.3291)  1 C 1.10
H (0.4881, 0.0297, 0.2289)  1 P 1.41
H (0.2500, 0.8531, 0.1889)  1 P 1.41
H (0.0119, 0.0297, 0.2289)  1 P 1.41
H (0.9394, 0.5630, 0.8546)  1 C 1.10
H (0.7500, 0.7043, 0.8320)  1 C 1.10
H (0.5606, 0.5630, 0.8546)  1 C 1.10
H (0.9871, 0.6029, 0.7093)  1 P 1.41
H (0.7500, 0.4188, 0.7367)  1 P 1.40
H (0.5129, 0.6029, 0.7093)  1 P 1.41
H (0.4392, 0.4056, 0.2241)  1 C 1.10
H (0.2500, 0.5539, 0.2184)  1 C 1.10
H (0.0608, 0.4056, 0.2241)  1 C 1.10
H (0.4881, 0.5015, 0.0858)  1 P 1.41
H (0.2500, 0.3142, 0.0934)  1 P 1.41
H (0.0119, 0.5015, 0.0858)  1 P 1.41

---

x | # PH6PbCBr3

Crystalline PH6PbCBr3 at its relaxed geometry (PBE, Alexandria via LeMat-Bulk).

**Volume**: 233.2 Å³/cell

a = 6.1349 Å, b = 6.1999 Å, c = 6.1601 Å
α = 95.46°, β = 90.00°, γ = 89.99°
Last column: nearest neighbours and their distance in Å.
Sites, in units of the cell vectors:
Pb (0.5047, 0.4903, 0.5016)  5 Br 2.86-3.14
Br (0.5049, 0.0261, 0.4543)  1 Pb 2.86, 2 H 3.18
Br (0.0049, 0.5330, 0.4980)  2 Pb 3.08, 5 H 3.20-3.38
Br (0.5049, 0.4945, 0.9918)  4 H 2.57-2.85
C (0.0051, 0.0954, 0.9103)  3 H 1.10
P (0.0050, 0.8983, 0.1049)  3 H 1.40-1.41
H (0.1519, 0.1965, 0.9334)  1 C 1.10
H (0.8585, 0.1968, 0.9335)  1 C 1.10
H (0.0050, 0.0096, 0.7461)  1 C 1.10
H (0.1916, 0.7642, 0.0783)  1 P 1.41
H (0.8184, 0.7644, 0.0783)  1 P 1.41
H (0.0051, 0.0010, 0.3178)  1 P 1.40

---

Which one is the most stable? From the structures above, x.